## Na4AgCl2 (PBE)

Data for a relaxed Na4AgCl2 crystal.

Cell: 5.583 5.583 14.704 Å, 90.00 90.00 90.00°
Space group I4/mmm (No. 139)
Symmetry-distinct sites (fractional):
1 Na 0.000 0.000 0.203 x4
2 Na 0.000 0.500 0.000 x4
3 Ag 0.000 0.000 0.000 x2
4 Cl 0.000 0.000 0.379 x4

Calculated values
Calculated total energy   -2.382 eV/atom
Magnetization   0.00 μB per cell



## NaAg3Cl (PBE)

Data for a relaxed NaAg3Cl crystal.

Cell: 5.207 5.207 5.207 Å, 90.00 90.00 90.00°
Space group Pm-3m (No. 221)
Symmetry-distinct sites (fractional):
1 Na 0.000 0.000 0.000 x1
2 Ag 0.000 0.500 0.500 x3
3 Cl 0.500 0.500 0.500 x1

Calculated values
Calculated total energy   -1.935 eV/atom
E above lowest polymorph   0.0000 eV/atom
Magnetization   0.00 μB per cell



## Na2AgCl5 (PBE)

Data for a relaxed Na2AgCl5 crystal.

Cell: 6.800 6.800 4.853 Å, 90.00 90.00 90.00°
Space group P4/mmm (No. 123)
Symmetry-distinct sites (fractional):
1 Na 0.000 0.500 0.000 x2
2 Ag 0.000 0.000 0.500 x1
3 Cl 0.000 0.000 0.000 x1
4 Cl 0.258 0.258 0.500 x4

Calculated values
Calculated total energy   -2.704 eV/atom
E above lowest polymorph   0.1116 eV/atom
Magnetization   0.00 μB per cell



## NaAg5Cl8 (PBE)

Data for a relaxed NaAg5Cl8 crystal.

Cell: 11.244 11.244 11.244 Å, 90.00 90.00 90.00°
Space group F-43m (No. 216)
Symmetry-distinct sites (fractional):
1 Na 0.000 0.000 0.000 x4
2 Ag 0.125 0.125 0.625 x16
3 Ag 0.250 0.250 0.250 x4
4 Cl 0.117 0.117 0.383 x16
5 Cl 0.137 0.137 0.863 x16

Calculated values
Calculated total energy   -2.738 eV/atom
E above lowest polymorph   0.0104 eV/atom
Magnetization   2.73 μB per cell



## NaAg7Cl12 (PBE)

Data for a relaxed NaAg7Cl12 crystal.

Cell: 9.876 9.876 9.876 Å, 90.00 90.00 90.00°
Space group Im-3 (No. 204)
Symmetry-distinct sites (fractional):
1 Na 0.000 0.000 0.000 x2
2 Ag 0.000 0.000 0.500 x6
3 Ag 0.250 0.250 0.250 x8
4 Cl 0.000 0.310 0.175 x24

Calculated values
Calculated total energy   -2.677 eV/atom
Magnetization   0.02 μB per cell



## NaAgCl5 (PBE)

Data for a relaxed NaAgCl5 crystal.

Cell: 11.582 10.747 8.671 Å, 90.00 126.11 90.00°
Space group C2/c (No. 15)
Symmetry-distinct sites (fractional):
1 Na 0.000 0.041 0.250 x4
2 Ag 0.250 0.250 0.000 x4
3 Cl 0.000 0.310 0.750 x4
4 Cl 0.170 0.079 0.096 x8
5 Cl 0.244 0.163 0.546 x8

Calculated values
Calculated total energy   -2.532 eV/atom
Magnetization   0.00 μB per cell



## Na2Ag4Cl5 (PBE)

Data for a relaxed Na2Ag4Cl5 crystal.

Cell: 3.8490 3.8490 60.5156 Å, 90.00 90.00 120.00°
Space group R-3m (No. 166, hexagonal axes)
Symmetry-distinct sites (fractional):
1 Na 0.0000 0.0000 0.1388 x6
2 Ag 0.0000 0.0000 0.3180 x6
3 Ag 0.0000 0.0000 0.4166 x6
4 Cl 0.0000 0.0000 0.2224 x6
5 Cl 0.0000 0.0000 0.3767 x6
6 Cl 0.0000 0.0000 0.5000 x3

Calculated values
Calculated total energy   -2.899 eV/atom
Magnetization   0.00 μB per cell



## Na3Ag4Cl9 (PBE)

Data for a relaxed Na3Ag4Cl9 crystal.

Cell: 6.8328 6.8328 29.2710 Å, 90.00 90.00 120.00°
Space group R3 (No. 146, hexagonal axes)
Symmetry-distinct sites (fractional):
1 Na 0.0000 0.0000 0.0000 x3
2 Na 0.0000 0.0000 0.1935 x3
3 Na 0.0000 0.0000 0.5606 x3
4 Ag 0.0000 0.0000 0.3176 x3
5 Ag 0.0000 0.0000 0.4330 x3
6 Ag 0.0000 0.0000 0.7561 x3
7 Ag 0.0000 0.0000 0.8769 x3
8 Cl 0.0010 0.6183 0.1580 x9
9 Cl 0.0087 0.6291 0.0382 x9
10 Cl 0.0530 0.3352 0.9296 x9

Calculated values
Calculated total energy   -2.890 eV/atom
Magnetization   0.00 μB per cell



## Na12Ag3Cl5 (PBE)

Data for a relaxed Na12Ag3Cl5 crystal.

Cell: 17.079 17.079 17.079 Å, 90.00 90.00 90.00°
Space group Ia-3d (No. 230)
Symmetry-distinct sites (fractional):
1 Na 0.019 0.065 0.652 x96
2 Ag 0.000 0.250 0.125 x24
3 Cl 0.000 0.000 0.000 x16
4 Cl 0.000 0.250 0.375 x24

Calculated values
Calculated total energy   -2.434 eV/atom
Magnetization   0.00 μB per cell